Computed, not measured: crystalline Ce2YHo at its relaxed geometry at the GGA-PBE level of DFT.

Structure (POSCAR):
```
Ce2YHo
1.0
3.471 0.000 0.000
0.000 3.471 0.000
0.000 0.000 10.150
Ce Y Ho
2 1 1
Direct
0.000 0.000 0.248
0.000 0.000 0.752
0.500 0.500 0.500
0.500 0.500 0.000
```

## Properties
- excess energy over the best structure of this formula in the dataset (meV/atom) = 21
- formation enthalpy at 0 K (meV/atom) = 113
- symmetry = P4/mmm

***

Computed, not measured: crystalline LiYZr2 at its relaxed geometry at the GGA-PBE level of DFT.

Structure (POSCAR):
```
LiYZr2
1.0
3.371 0.000 0.000
0.000 3.371 0.000
0.000 0.000 8.055
Li Y Zr
1 1 2
Direct
0.000 0.000 0.000
0.000 0.000 0.500
0.500 0.500 0.210
0.500 0.500 0.790
```

## Properties
- excess energy over the best structure of this formula in the dataset (meV/atom) = 103
- formation enthalpy at 0 K (meV/atom) = 222
- symmetry = P4/mmm

***

Computed, not measured: crystalline CaDy2Tm at its relaxed geometry at the GGA-PBE level of DFT.

Structure (POSCAR):
```
CaDy2Tm
1.0
0.000 4.039 4.039
4.039 0.000 4.039
4.039 4.039 0.000
Ca Dy Tm
1 2 1
Direct
0.000 0.000 0.000
0.250 0.250 0.250
0.750 0.750 0.750
0.500 0.500 0.500
```

## Properties
- excess energy over the best structure of this formula in the dataset (meV/atom) = 104
- formation enthalpy at 0 K (meV/atom) = 168
- symmetry = Fm-3m

***

Computed, not measured: crystalline AgBiPb at its relaxed geometry at the GGA-PBE level of DFT.

Structure (POSCAR):
```
AgBiPb
1.0
6.423 -2.278 0.000
6.423 2.278 0.000
-1.177 0.000 5.718
Ag Bi Pb
2 2 2
Direct
0.224 0.224 0.342
0.776 0.776 0.658
0.432 0.432 0.716
0.568 0.568 0.284
0.144 0.144 0.822
0.856 0.856 0.178
```

## Properties
- excess energy over the best structure of this formula in the dataset (meV/atom) = 23
- formation enthalpy at 0 K (meV/atom) = 58
- symmetry = C2/m

***

Computed, not measured: crystalline La3CdS6 at its relaxed geometry at the GGA-PBE level of DFT.

Structure (POSCAR):
```
La3CdS6
1.0
5.612 -6.929 0.000
5.612 6.929 0.000
0.000 0.000 6.909
La Cd S
6 2 12
Direct
0.104 0.896 0.500
0.214 0.417 0.576
0.417 0.214 0.076
0.583 0.786 0.576
0.786 0.583 0.076
0.896 0.104 0.000
0.304 0.696 0.111
0.696 0.304 0.611
0.059 0.594 0.307
0.137 0.184 0.287
0.184 0.137 0.787
0.278 0.722 0.751
0.406 0.941 0.307
0.471 0.529 0.281
0.529 0.471 0.781
0.594 0.059 0.807
0.722 0.278 0.251
0.816 0.863 0.287
0.863 0.816 0.787
0.941 0.406 0.807
```

## Properties
- total DFT energy (no corrections) (eV/atom) = -5.714
- symmetry = Cmc2_1

***

Computed, not measured: crystalline Tb2Nd8Dy3 at its relaxed geometry at the GGA-PBE level of DFT.

Structure (POSCAR):
```
Tb2Nd8Dy3
1.0
10.247 -3.863 0.000
10.247 3.863 0.000
-0.001 0.000 5.748
Tb Nd Dy
2 8 3
Direct
0.240 0.240 0.499
0.760 0.760 0.501
0.131 0.131 0.000
0.189 0.600 0.500
0.327 0.327 0.000
0.400 0.811 0.500
0.600 0.189 0.500
0.673 0.673 0.000
0.811 0.400 0.500
0.869 0.869 0.000
0.000 0.000 0.500
0.285 0.715 0.000
0.715 0.285 0.000
```

## Properties
- formation enthalpy at 0 K (meV/atom) = 203
- symmetry = C2/m

***

Computed, not measured: crystalline Ba2ZnSn at its relaxed geometry at the GGA-PBE level of DFT.

Structure (POSCAR):
```
Ba2ZnSn
1.0
5.952 -2.834 0.000
5.952 2.834 0.000
-5.142 0.000 9.671
Ba Zn Sn
4 2 2
Direct
0.178 0.183 0.091
0.183 0.178 0.591
0.817 0.822 0.409
0.822 0.817 0.909
0.237 0.763 0.250
0.763 0.237 0.750
0.275 0.725 0.750
0.725 0.275 0.250
```

## Properties
- formation enthalpy at 0 K (meV/atom) = -222
- symmetry = C2/c

***

Computed, not measured: crystalline Ac8Ni2Pt at its relaxed geometry at the GGA-PBE level of DFT.

Structure (POSCAR):
```
Ac8Ni2Pt
1.0
10.033 -2.056 0.000
10.033 2.056 0.000
-0.770 0.000 9.755
Ac Ni Pt
8 2 1
Direct
0.016 0.016 0.218
0.224 0.224 0.325
0.345 0.345 0.040
0.401 0.401 0.452
0.599 0.599 0.548
0.655 0.655 0.960
0.776 0.776 0.675
0.984 0.984 0.782
0.168 0.168 0.736
0.832 0.832 0.264
0.500 0.500 0.000
```

## Properties
- formation enthalpy at 0 K (meV/atom) = -289
- symmetry = C2/m